VASP calculation (PBE-GGA) on an optimized crystal structure of AcAl2.

Lattice parameters (Å, degrees): 5.9122 5.9122 5.9122 60.00 60.00 60.00
With the nearest neighbours (Å) after each atom.
Positions (direct):
Ac 0.2500 0.2500 0.2500  12 Al 3.47, 4 Ac 3.62
Ac 0.0000 0.0000 0.0000  12 Al 3.47, 4 Ac 3.62
Al 0.6250 0.6250 0.1250  6 Al 2.96
Al 0.6250 0.6250 0.6250  6 Al 2.96
Al 0.6250 0.1250 0.6250  6 Al 2.96
Al 0.1250 0.6250 0.6250  6 Al 2.96

Output
The calculation puts the formation energy at -0.36 eV per atom. The density is 6.4 g/cm3.